Density functional theory data (GGA-PBEsol) for a relaxed structure of Rb2CoI4.

a b c (Å): 7.4627 7.9220 10.3020
angles (deg): 90.00 109.71 90.00
Last column: magnetic moment on the atom in μB.
Positions (direct):
I (0.9107, 0.2500, 0.6432)  0.10
Rb (0.8002, 0.7500, 0.5889)  0.00
I (0.1464, 0.7500, 0.9555)  0.09
Co (0.3100, 0.7500, 0.2164)  2.21
I (0.5277, 0.4961, 0.2805)  0.11
Rb (0.1998, 0.2500, 0.4111)  0.00
I (0.0893, 0.7500, 0.3568)  0.10
I (0.4723, 0.5039, 0.7195)  0.11
I (0.4723, 0.9961, 0.7195)  0.11
I (0.5277, 0.0039, 0.2805)  0.11
Rb (0.7019, 0.7500, 0.0366)  0.00
I (0.8536, 0.2500, 0.0445)  0.09
Co (0.6900, 0.2500, 0.7836)  2.21
Rb (0.2981, 0.2500, 0.9634)  0.00

SG ... P2_1/m (11)

---

Density functional theory data (GGA-PBEsol) for a relaxed structure of RbCoSb2I.

a b c (Å): 4.8085 4.8085 6.9733
angles (deg): 90.00 90.00 90.00
Positions (direct):
Rb (0.5000, 0.5000, 0.5000)
Sb (0.0000, 0.5000, 0.0000)
I (0.0000, 0.0000, 0.5000)
Co (0.0000, 0.0000, 0.0000)
Sb (0.5000, 0.0000, 0.0000)

D(E_F) ... 0.78 states/eV per atom
SG ... P4/mmm (123)

---

Density functional theory data (GGA-PBEsol) for a relaxed structure of Co3ReI.

a b c (Å): 4.4424 4.4424 4.4424
angles (deg): 90.00 90.00 90.00
Last column: magnetic moment on the atom in μB.
Positions (direct):
Co (0.0000, 0.5000, 0.0000)  1.01
Co (0.0000, 0.0000, 0.5000)  1.01
Co (0.5000, 0.0000, 0.0000)  1.01
I (0.0000, 0.0000, 0.0000)  0.02
Re (0.5000, 0.5000, 0.5000)  2.72

D(E_F) ... 1.75 states/eV per atom
SG ... Pm-3m (221)

---

Density functional theory data (GGA-PBEsol) for a relaxed structure of CoReTc2I.

a b c (Å): 4.3062 4.3062 4.6641
angles (deg): 90.00 90.00 90.00
Positions (direct):
Tc (0.0000, 0.5000, 0.0000)
Co (0.0000, 0.0000, 0.0000)
I (0.0000, 0.0000, 0.5000)
Tc (0.5000, 0.0000, 0.0000)
Re (0.5000, 0.5000, 0.5000)

D(E_F) ... 1.47 states/eV per atom
SG ... P4/mmm (123)

---

The following E_form (uncorrected) values (in eV/atom) correspond, in order, to the records above: -0.826, -0.072, 2.152, 2.015.